[1]
## DyLuZnCo (PBE-GGA)

Data for an optimized crystal structure of DyLuZnCo.

Cell: 4.815 4.815 4.815 Å, 60.00 60.00 60.00°
Positions (direct):
Zn (0.000, 0.000, 0.000)
Lu (0.250, 0.250, 0.250)
Co (0.500, 0.500, 0.500)
Dy (0.750, 0.750, 0.750)

## Properties
Calculated volume ... 78.92 Å³ per cell
Raw total energy ... -4.634 eV per atom
Magnetization ... 0.0 μB/cell
Density of states at the Fermi level ... 0.73 states/eV per atom
Symmetry ... F-43m

=====

[2]
## PaCoNiPb (PBE-GGA)

Data for an optimized crystal structure of PaCoNiPb.

Cell: 4.674 4.674 4.674 Å, 60.00 60.00 60.00°
Positions (direct):
Pb (0.750, 0.750, 0.750)
Ni (0.500, 0.500, 0.500)
Pa (0.250, 0.250, 0.250)
Co (0.000, 0.000, 0.000)

## Properties
Calculated volume ... 72.21 Å³ per cell
Raw total energy ... -6.588 eV per atom
Magnetization ... 0.4 μB/cell
Density of states at the Fermi level ... 1.33 states/eV per atom
Symmetry ... F-43m

=====

Q: Which of these has the highest density of states at the Fermi level?
A: PaCoNiPb

=====

Q: What is the formula in the second record?
A: PaCoNiPb

=====

Q: What is the formula in the second record?
A: PaCoNiPb